Material: Tb7Sm4Y
Method: DFT, PBE
State: relaxed

Cell and atoms, written as extended XYZ:
```
12
Lattice="5.9449 0.0000 0.0000 2.9725 11.2598 -0.2895 2.9725 0.1409 6.0511" Properties=species:S:1:pos:R:3 pbc="T T T"
Sm 2.9725 3.6891 1.1423
Sm 5.9449 8.8211 2.8009
Sm 5.9449 2.5796 2.9608
Sm 8.9174 7.7117 4.6193
Tb 8.9174 3.7025 4.8081
Tb 2.9725 0.0000 0.0000
Tb 2.9725 7.6982 0.9535
Tb 5.9449 5.6837 1.2753
Tb 2.9725 0.9372 2.9882
Tb 8.9174 10.4635 2.7734
Tb 5.9449 5.7170 4.4863
Y 0.0000 0.0000 0.0000
```

- space group = C2/m, No. 12
- size of the total moment (μB per formula unit) = 0.03
- total DFT energy (no corrections) (eV per cell) = -54.51
- N(E_F) (states/eV per atom) = 1.65